[1]
PBE Na2ZrH2O4, relaxed; total magnetic moment = 0.000 μB/atom; energy = -6.144 eV/atom
1.0
3.183 0.000 0.000
0.000 5.990 0.348
-1.592 -2.070 5.031
Na Zr O H
2 1 4 2
Cartesian
1.592 1.135 3.763 Na
0.000 2.784 1.616 Na
0.000 0.000 0.000 Zr
1.592 4.589 0.570 O
0.000 -0.670 4.809 O
1.592 3.460 3.249 O
0.000 0.460 2.129 O
0.000 -0.286 2.768 H
1.592 4.206 2.611 H

[2]
PBE NaZrH2O, relaxed; total magnetic moment = 0.152 μB/atom; energy = -4.058 eV/atom
1.0
-3.036 0.402 -2.024
1.849 -4.786 -3.724
-1.764 -2.373 2.175
Zr H Na O
1 2 1 1
Cartesian
0.000 0.000 0.000 Zr
-0.882 -1.187 1.087 H
-1.518 0.201 -1.012 H
0.924 -2.393 -1.862 Na
-1.475 -3.379 -1.787 O

[3]
PBE NaZrH2O4, relaxed; total magnetic moment = 0.112 μB/atom; energy = -6.177 eV/atom
1.0
5.116 0.000 0.000
2.558 3.765 0.164
2.558 0.472 3.739
O Na H Zr
4 1 2 1
Cartesian
8.439 3.709 2.146 O
6.910 2.442 3.520 O
1.793 1.795 0.383 O
3.323 0.528 1.757 O
5.116 2.118 1.951 Na
7.674 3.064 2.822 H
2.558 1.173 1.080 H
0.000 0.000 0.000 Zr